# 1
## ScRePb2 (GGA-PBE)

Data for crystalline ScRePb2 at its relaxed geometry.

Values from the calculation:
total moment	0.0	μB per formula unit
offset from the most stable computed form	107.9	meV per atom
energy of formation	1.5	eV/f.u.

a = 6.9298 Å, b = 6.9298 Å, c = 6.9298 Å
α = 90.00°, β = 90.00°, γ = 90.00°
Space group Fm-3m (No. 225)
Symmetry-distinct sites (fractional):
Sc 0.0000 0.0000 0.0000 (multiplicity 4)
Re 0.0000 0.0000 0.5000 (multiplicity 4)
Pb 0.2500 0.2500 0.2500 (multiplicity 8)

***

# 2
## ScRePb2 (GGA-PBE)

Data for crystalline ScRePb2 at its relaxed geometry.

Values from the calculation:
total moment	0.0	μB per formula unit
offset from the most stable computed form	201.2	meV per atom
energy of formation	1.9	eV/f.u.

a = 3.4900 Å, b = 4.5756 Å, c = 5.8227 Å
α = 90.00°, β = 104.13°, γ = 90.00°
Space group Pm (No. 6)
Symmetry-distinct sites (fractional):
Sc 0.0000 0.0000 0.0000 (multiplicity 1)
Re 0.6943 0.5000 0.7626 (multiplicity 1)
Pb 0.1979 0.0000 0.5486 (multiplicity 1)
Pb 0.5653 0.5000 0.2234 (multiplicity 1)

***

# 3
## ScRe2Pb (GGA-PBE)

Data for crystalline ScRe2Pb at its relaxed geometry.

Values from the calculation:
total moment	0.0	μB per formula unit
energy of formation	1.6	eV/f.u.

a = 3.3432 Å, b = 4.5866 Å, c = 9.5073 Å
α = 90.00°, β = 90.00°, γ = 90.00°
Space group Imm2 (No. 44)
Symmetry-distinct sites (fractional):
Sc 0.0000 0.0000 0.0000 (multiplicity 2)
Re 0.0000 0.0000 0.5239 (multiplicity 2)
Re 0.0000 0.5000 0.2416 (multiplicity 2)
Pb 0.0000 0.5000 0.7735 (multiplicity 2)

***

# 4
## Sc2RePb (GGA-PBE)

Data for crystalline Sc2RePb at its relaxed geometry.

Values from the calculation:
total moment	0.0	μB per formula unit
energy of formation	-0.3	eV/f.u.

a = 4.6547 Å, b = 4.6547 Å, c = 3.6620 Å
α = 90.00°, β = 90.00°, γ = 90.00°
Space group P4/mmm (No. 123)
Symmetry-distinct sites (fractional):
Sc 0.0000 0.5000 0.0000 (multiplicity 2)
Re 0.0000 0.0000 0.5000 (multiplicity 1)
Pb 0.5000 0.5000 0.5000 (multiplicity 1)

***

# 5
## ScRePb2 (GGA-PBE)

Data for crystalline ScRePb2 at its relaxed geometry.

Values from the calculation:
total moment	0.0	μB per formula unit
offset from the most stable computed form	165.1	meV per atom
energy of formation	1.7	eV/f.u.

a = 3.5204 Å, b = 5.3661 Å, c = 9.4103 Å
α = 90.00°, β = 90.00°, γ = 90.00°
Space group Immm (No. 71)
Symmetry-distinct sites (fractional):
Sc 0.0000 0.0000 0.0000 (multiplicity 2)
Re 0.0000 0.0000 0.5000 (multiplicity 2)
Pb 0.0000 0.5000 0.2350 (multiplicity 4)

***

# 6
## ScRePb2 (GGA-PBE)

Data for crystalline ScRePb2 at its relaxed geometry.

Values from the calculation:
total moment	0.0	μB per formula unit
offset from the most stable computed form	158.9	meV per atom
energy of formation	1.7	eV/f.u.

a = 9.4377 Å, b = 3.4977 Å, c = 5.3880 Å
α = 90.00°, β = 100.77°, γ = 90.00°
Space group C2/m (No. 12)
Symmetry-distinct sites (fractional):
Sc 0.0000 0.0000 0.0000 (multiplicity 2)
Re 0.0000 0.5000 0.5000 (multiplicity 2)
Pb 0.2383 0.0000 0.7302 (multiplicity 4)

***

# 7
## ScRePb2 (GGA-PBE)

Data for crystalline ScRePb2 at its relaxed geometry.

Values from the calculation:
total moment	0.0	μB per formula unit
offset from the most stable computed form	324.4	meV per atom
energy of formation	2.3	eV/f.u.

a = 3.4096 Å, b = 5.5484 Å, c = 9.4947 Å
α = 90.00°, β = 90.00°, γ = 90.00°
Space group Cmmm (No. 65)
Symmetry-distinct sites (fractional):
Sc 0.0000 0.0000 0.0000 (multiplicity 2)
Re 0.0000 0.0000 0.5000 (multiplicity 2)
Pb 0.0000 0.5000 0.2657 (multiplicity 4)

***

# 8
## ScRePb2 (GGA-PBE)

Data for crystalline ScRePb2 at its relaxed geometry.

Values from the calculation:
total moment	1.0	μB per formula unit
offset from the most stable computed form	260.1	meV per atom
energy of formation	2.1	eV/f.u.

a = 4.5608 Å, b = 4.5608 Å, c = 4.1504 Å
α = 90.00°, β = 90.00°, γ = 90.00°
Space group P4/mmm (No. 123)
Symmetry-distinct sites (fractional):
Sc 0.0000 0.0000 0.0000 (multiplicity 1)
Re 0.5000 0.5000 0.0000 (multiplicity 1)
Pb 0.0000 0.5000 0.5000 (multiplicity 2)

***

Number 1: uncorrected energy -6.18 eV/atom. Number 2: uncorrected energy -6.09 eV/atom. Number 3: uncorrected energy -8.33 eV/atom. Number 4: uncorrected energy -7.29 eV/atom. Number 5: uncorrected energy -6.12 eV/atom. Number 6: uncorrected energy -6.13 eV/atom. Number 7: uncorrected energy -5.96 eV/atom. Number 8: uncorrected energy -6.03 eV/atom.